Entry from Alexandria via LeMat-Bulk: an optimized crystal structure of Fe4C (PBE).

Theoretical density   7.32 Mg/m³
Space group   Pm-3m (221)
Relative energy among the computed polymorphs   0 meV per atom
Formation energy from the elements   0.1167 eV/atom
Raw total energy   -0.6246 Ry/atom
Fermi-level density of states   5.0 states/eV/cell
Total moment   8.00 μB per cell

abc: 3.7652 3.7652 3.7652
angles: 90.00 90.00 90.00
Sites, in units of the cell vectors:
Fe 0.0000 0.0000 0.0000
Fe 0.0000 0.5000 0.5000
Fe 0.5000 0.0000 0.5000
Fe 0.5000 0.5000 0.0000
C 0.5000 0.5000 0.5000



Entry from Alexandria via LeMat-Bulk: an optimized crystal structure of BiTe2RhI (PBE).

Theoretical density   7.78 Mg/m³
ΔE_f (raw)   0.1990 eV per atom
Space group   P4/mmm (123)
Relative energy among the computed polymorphs   0 meV per atom
Raw total energy   -0.2656 Ry/atom
Fermi-level density of states   4.3 states/eV/cell
Total moment   0.00 μB per cell

abc: 5.2577 5.2577 5.3585
angles: 90.00 90.00 90.00
Sites, in units of the cell vectors:
Bi 0.0000 0.0000 0.0000
Te 0.0000 0.5000 0.5000
Te 0.5000 0.0000 0.5000
Rh 0.5000 0.5000 0.5000
I 0.5000 0.5000 0.0000



Entry from Alexandria via LeMat-Bulk: an optimized crystal structure of Rb5Pt2S5 (PBE).

Theoretical density   4.45 Mg/m³
ΔE_f (raw)   -0.6635 eV per atom
Space group   C2/m (12)
Raw total energy   -0.2788 Ry/atom
Fermi-level density of states   5.1 states/eV/cell
Total moment   0.00 μB per cell

abc: 7.6725 7.6725 11.3038
angles: 96.02 96.02 33.45
Sites, in units of the cell vectors:
Rb 0.0000 0.0000 0.0000
Rb 0.1398 0.1398 0.5911
Rb 0.2898 0.2898 0.8648
Rb 0.7102 0.7102 0.1352
Rb 0.8602 0.8602 0.4089
Pt 0.4808 0.4808 0.7116
Pt 0.5192 0.5192 0.2884
S 0.0783 0.0783 0.2843
S 0.3826 0.3826 0.1567
S 0.5000 0.5000 0.5000
S 0.6174 0.6174 0.8433
S 0.9217 0.9217 0.7157